Record 1
Here is TcTe2 after structural relaxation from the Alexandria database. Energies are from GGA-PBEsol.

Summary:
- DOS(E_F) (states/eV/cell) = 4.34
- uncorrected energy (eV per atom) = -5.460
- formation energy from raw total energies (eV/atom) = 0.646
- mass density (Mg/m³) = 9.5

Cell lengths 4.7765, 4.7765, 6.2268 Å; angles 90.00, 90.00, 120.00 degrees
Atoms (fractional coordinates):
1 Te 0.0000 0.0000 0.5000
2 Te 0.6667 0.3333 0.2500
3 Tc 0.3333 0.6667 0.2500
4 Te 0.0000 0.0000 0.0000
5 Tc 0.6667 0.3333 0.7500
6 Te 0.3333 0.6667 0.7500


Record 2
Here is SrMgTiBi2 after structural relaxation from the Alexandria database. Energies are from GGA-PBEsol.

Summary:
- formation enthalpy at 0 K (eV/f.u.) = 5.7
- DOS(E_F) (states/eV/cell) = 5.45
- uncorrected energy (eV per atom) = -2.949
- mass density (Mg/m³) = 5.2

Cell lengths 5.2181, 5.9316, 5.9316 Å; angles 90.00, 90.00, 90.00 degrees
Atoms (fractional coordinates):
1 Ti 0.5000 0.0000 0.0000
2 Sr 0.0000 0.0000 0.0000
3 Mg 0.5000 0.5000 0.5000
4 Bi 0.0000 0.5000 0.0000
5 Bi 0.0000 0.0000 0.5000


Record 3
Here is Sc2Ga2Ag after structural relaxation from the Alexandria database. Energies are from GGA-PBEsol.

Summary:
- formation enthalpy at 0 K (eV/f.u.) = 0.2
- DOS(E_F) (states/eV/cell) = 3.79
- uncorrected energy (eV per atom) = -4.596
- mass density (Mg/m³) = 5.5

Cell lengths 4.1363, 4.1363, 6.6287 Å; angles 108.18, 108.18, 90.00 degrees
Atoms (fractional coordinates):
1 Sc 0.7500 0.2500 0.5000
2 Ga 0.4039 0.4039 0.8079
3 Ag 0.0000 0.0000 0.0000
4 Ga 0.5961 0.5961 0.1921
5 Sc 0.2500 0.7500 0.5000